Entry from Alexandria: a relaxed structure of RbMnF3 (GGA+U).

Size of the total moment   5.00 μB/f.u.
Mass density   3.24 Mg/m³
Symmetry   Cmcm (63)
E_tot   -48.33 eV per cell

Cell: 8.0790 8.0790 5.5208 Å, 90.00 90.00 145.83°
Site moments in Bohr magnetons follow the coordinates.
Atoms (fractional coordinates):
Mn1 0.4280 0.5720 0.2500  4.58
Mn2 0.5720 0.4280 0.7500  4.58
Rb1 0.1710 0.8290 0.2500  0.00
Rb2 0.8290 0.1710 0.7500  0.00
F1 0.0767 0.4112 0.2500  0.05
F2 0.5888 0.9233 0.2500  0.05
F3 0.4112 0.0767 0.7500  0.05
F4 0.9233 0.5888 0.7500  0.05
F5 0.0000 0.0000 0.0000  0.00
F6 0.0000 0.0000 0.5000  0.00